No. 1
Below is crystalline Y2PaS at its relaxed geometry, with properties calculated at the PBE level.

## Properties
**Calculated volume**: 26.54 A^3/atom
**Total magnetic moment**: 0.0 μB per formula unit
**VASP energy**: -7.15 eV per atom
**Crystal system**: trigonal

abc: 3.4894 3.4894 30.2001
angles: 90.00 90.00 120.00
Space group R-3m (No. 166, hexagonal axes)
Asymmetric unit:
Y (0.0000, 0.0000, 0.1083) [6 per cell]
Pa (0.0000, 0.0000, 0.0000) [3 per cell]
S (0.0000, 0.0000, 0.5000) [3 per cell]



No. 2
Below is crystalline TlInGeBr6 at its relaxed geometry, with properties calculated at the PBE level.

## Properties
**Calculated volume**: 36.54 A^3/atom
**Total magnetic moment**: 0.0 μB per formula unit
**VASP energy**: -2.94 eV per atom
**Crystal system**: trigonal

abc: 7.2013 7.2013 7.3212
angles: 90.00 90.00 120.00
Space group P312 (No. 149)
Asymmetric unit:
Tl (0.0000, 0.0000, 0.0000) [1 per cell]
In (0.6667, 0.3333, 0.5000) [1 per cell]
Ge (0.3333, 0.6667, 0.5000) [1 per cell]
Br (0.3741, 0.0119, 0.7172) [6 per cell]



No. 3
Below is crystalline CdNi4Ir at its relaxed geometry, with properties calculated at the PBE level.

## Properties
**Calculated volume**: 12.90 A^3/atom
**E_form**: 0.138 eV per atom
**Total magnetic moment**: 2.6 μB per formula unit
**VASP energy**: -5.35 eV per atom
**Crystal system**: cubic

abc: 6.765 6.765 6.765
angles: 90.00 90.00 90.00
Space group F-43m (No. 216)
Asymmetric unit:
Cd (0.000, 0.000, 0.000) [4 per cell]
Ni (0.124, 0.124, 0.376) [16 per cell]
Ir (0.250, 0.250, 0.750) [4 per cell]



No. 4
Below is crystalline LaOsS2 at its relaxed geometry, with properties calculated at the PBE level.

## Properties
**Calculated volume**: 19.24 A^3/atom
**Total magnetic moment**: 3.0 μB per formula unit
**VASP energy**: -6.42 eV per atom
**Crystal system**: cubic

abc: 6.753 6.753 6.753
angles: 90.00 90.00 90.00
Space group Fm-3m (No. 225)
Asymmetric unit:
La (0.000, 0.000, 0.000) [4 per cell]
Os (0.000, 0.000, 0.500) [4 per cell]
S (0.250, 0.250, 0.250) [8 per cell]



No. 5
Below is crystalline SrLaHg at its relaxed geometry, with properties calculated at the PBE level.

## Properties
**Calculated volume**: 36.28 A^3/atom
**E_form**: -0.271 eV per atom
**Total magnetic moment**: 0.0 μB per formula unit
**VASP energy**: -2.57 eV per atom
**Crystal system**: orthorhombic

abc: 7.303 8.315 7.169
angles: 90.00 90.00 90.00
Space group Ima2 (No. 46)
Asymmetric unit:
Sr (0.250, 0.163, 0.000) [4 per cell]
La (0.250, 0.709, 0.167) [4 per cell]
Hg (0.000, 0.000, 0.371) [4 per cell]



No. 6
Below is crystalline Fe2OsRh at its relaxed geometry, with properties calculated at the PBE level.

## Properties
**Calculated volume**: 13.29 A^3/atom
**E_form**: 0.172 eV per atom
**Total magnetic moment**: 6.7 μB per formula unit
**VASP energy**: -8.70 eV per atom
**Crystal system**: tetragonal

abc: 4.249 4.249 2.945
angles: 90.00 90.00 90.00
Space group P4/mmm (No. 123)
Asymmetric unit:
Fe (0.000, 0.500, 0.000) [2 per cell]
Os (0.000, 0.000, 0.500) [1 per cell]
Rh (0.500, 0.500, 0.500) [1 per cell]